CrHgSe2, optimized geometry, DFT PBE; raw formation energy = 0.099 eV per atom; calculated volume = 26.77 A^3/atom
1.0
3.716 0.000 0.000
0.000 3.790 0.000
0.000 0.000 7.602
Cr Hg Se
1 1 2
direct
0.000 0.000 0.000
0.000 0.500 0.500
0.500 0.000 0.500
0.500 0.500 0.000

---

AcTb6Nd12, optimized geometry, DFT PBE; energy above the lowest structure with this stoichiometry = 0.000 eV/f.u.; calculated volume = 35.36 A^3/atom
1.0
6.127 3.537 5.167
-6.127 3.537 5.167
0.000 -7.075 5.167
Ac Tb Nd
1 6 12
direct
0.000 0.000 0.000
0.099 0.694 0.260
0.260 0.099 0.694
0.306 0.740 0.901
0.694 0.260 0.099
0.740 0.901 0.306
0.901 0.306 0.740
0.015 0.201 0.363
0.201 0.363 0.015
0.222 0.461 0.570
0.363 0.015 0.201
0.430 0.778 0.539
0.461 0.570 0.222
0.539 0.430 0.778
0.570 0.222 0.461
0.637 0.985 0.799
0.778 0.539 0.430
0.799 0.637 0.985
0.985 0.799 0.637

---

Tl16BiPb12, optimized geometry, DFT PBE; final energy = -2.97 eV per atom; calculated volume = 32.12 A^3/atom
1.0
6.177 -8.664 0.000
6.177 8.664 0.000
-6.163 0.000 8.702
Tl Bi Pb
16 1 12
direct
0.000 0.000 0.000
0.000 0.683 0.755
0.003 0.003 0.354
0.279 0.589 0.942
0.312 0.717 0.659
0.315 0.315 0.068
0.351 0.351 0.699
0.404 0.997 0.035
0.407 0.684 0.349
0.589 0.279 0.942
0.649 0.997 0.349
0.683 0.000 0.755
0.684 0.407 0.349
0.717 0.312 0.659
0.997 0.404 0.035
0.997 0.649 0.349
0.589 0.589 0.626
0.000 0.372 0.538
0.181 0.804 0.156
0.185 0.995 0.724
0.191 0.376 0.348
0.372 0.000 0.538
0.376 0.191 0.348
0.620 0.810 0.965
0.628 0.628 0.165
0.803 0.803 0.536
0.804 0.181 0.156
0.810 0.620 0.965
0.995 0.185 0.724

---

Hf2SbP, optimized geometry, DFT PBE; energy above the lowest structure with this stoichiometry = 3.320 eV/f.u.; raw formation energy = -0.157 eV per atom; calculated volume = 28.74 A^3/atom
1.0
-3.058 3.058 6.148
3.058 -3.058 6.148
3.058 3.058 -6.148
Hf Sb P
4 2 2
direct
0.080 0.625 0.955
0.375 0.330 0.455
0.670 0.125 0.045
0.875 0.920 0.545
0.250 0.750 0.500
0.500 0.500 0.000
0.000 0.000 0.000
0.750 0.250 0.500